# UTeS PBE relaxed
# M_tot in μB per cell: 4.0
# Electronic total energy in eV/atom: -7.22
data_UTeS
_chemical_formula_sum 'U2 Te2 S2'
_space_group_name_H-M_alt 'P 4/n m m'
_space_group_IT_number 129
_cell_length_a 4.353
_cell_length_b 4.353
_cell_length_c 7.820
_cell_angle_alpha 90.00
_cell_angle_beta 90.00
_cell_angle_gamma 90.00
loop_
_space_group_symop_operation_xyz
'x,y,z'
'-x,-y,-z'
'-y+1/2,x,z'
'y+1/2,-x,-z'
'-x+1/2,-y+1/2,z'
'x+1/2,y+1/2,-z'
'y,-x+1/2,z'
'-y,x+1/2,-z'
'x+1/2,-y,-z'
'-x+1/2,y,z'
'-y,-x,-z'
'y,x,z'
'-x,y+1/2,-z'
'x,-y+1/2,z'
'y+1/2,x+1/2,-z'
'-y+1/2,-x+1/2,z'
loop_
_atom_site_label
_atom_site_type_symbol
_atom_site_fract_x
_atom_site_fract_y
_atom_site_fract_z
U1 U 0.250 0.250 0.209
Te1 Te 0.250 0.250 0.625
S1 S 0.250 0.750 0.000

=====

# UTeS PBE relaxed
# M_tot in μB per cell: 6.3
# Electronic total energy in eV/atom: -6.53
data_UTeS
_chemical_formula_sum 'U3 Te3 S3'
_space_group_name_H-M_alt 'P -6 2 m'
_space_group_IT_number 189
_space_group_name_Hall 'P -6 -2'
_cell_length_a 8.2572
_cell_length_b 8.2572
_cell_length_c 3.5065
_cell_angle_alpha 90.00
_cell_angle_beta 90.00
_cell_angle_gamma 120.00
loop_
_atom_site_label
_atom_site_type_symbol
_atom_site_fract_x
_atom_site_fract_y
_atom_site_fract_z
U1 U 0.0000 0.6290 0.0000
Te1 Te 0.0000 0.0000 0.0000
Te2 Te 0.3333 0.6667 0.5000
S1 S 0.0000 0.3071 0.5000

=====

# UTeS PBE relaxed
# M_tot in μB per cell: 6.7
# Electronic total energy in eV/atom: -6.53
data_UTeS
_chemical_formula_sum 'U3 Te3 S3'
_space_group_name_H-M_alt 'P -6 2 m'
_space_group_IT_number 189
_space_group_name_Hall 'P -6 -2'
_cell_length_a 8.4908
_cell_length_b 8.4908
_cell_length_c 3.4623
_cell_angle_alpha 90.00
_cell_angle_beta 90.00
_cell_angle_gamma 120.00
loop_
_atom_site_label
_atom_site_type_symbol
_atom_site_fract_x
_atom_site_fract_y
_atom_site_fract_z
U1 U 0.0000 0.2880 0.0000
Te1 Te 0.0000 0.0000 0.5000
Te2 Te 0.3333 0.6667 0.0000
S1 S 0.0000 0.6691 0.5000

=====

# UTeS PBE relaxed
# M_tot in μB per cell: 5.1
# Electronic total energy in eV/atom: -6.45
data_UTeS
_chemical_formula_sum 'U2 Te2 S2'
_space_group_name_H-M_alt 'P 63/m m c'
_space_group_IT_number 194
_space_group_name_Hall '-P 6c 2c'
_cell_length_a 4.8417
_cell_length_b 4.8417
_cell_length_c 6.8125
_cell_angle_alpha 90.00
_cell_angle_beta 90.00
_cell_angle_gamma 120.00
loop_
_atom_site_label
_atom_site_type_symbol
_atom_site_fract_x
_atom_site_fract_y
_atom_site_fract_z
U1 U 0.0000 0.0000 0.0000
Te1 Te 0.3333 0.6667 0.2500
S1 S 0.3333 0.6667 0.7500

=====

# UTeS PBE relaxed
# M_tot in μB per cell: 4.8
# Electronic total energy in eV/atom: -6.62
data_UTeS
_chemical_formula_sum 'U2 Te2 S2'
_space_group_name_H-M_alt 'P 63/m m c'
_space_group_IT_number 194
_space_group_name_Hall '-P 6c 2c'
_cell_length_a 5.2806
_cell_length_b 5.2806
_cell_length_c 6.0501
_cell_angle_alpha 90.00
_cell_angle_beta 90.00
_cell_angle_gamma 120.00
loop_
_atom_site_label
_atom_site_type_symbol
_atom_site_fract_x
_atom_site_fract_y
_atom_site_fract_z
U1 U 0.3333 0.6667 0.2500
Te1 Te 0.3333 0.6667 0.7500
S1 S 0.0000 0.0000 0.0000

=====

# UTeS PBE relaxed
# M_tot in μB per cell: 6.7
# Electronic total energy in eV/atom: -6.72
data_UTeS
_chemical_formula_sum 'U3 Te3 S3'
_space_group_name_H-M_alt 'P -6 2 m'
_space_group_IT_number 189
_space_group_name_Hall 'P -6 -2'
_cell_length_a 8.0179
_cell_length_b 8.0179
_cell_length_c 3.5610
_cell_angle_alpha 90.00
_cell_angle_beta 90.00
_cell_angle_gamma 120.00
loop_
_atom_site_label
_atom_site_type_symbol
_atom_site_fract_x
_atom_site_fract_y
_atom_site_fract_z
U1 U 0.0000 0.6236 0.0000
Te1 Te 0.0000 0.2877 0.5000
S1 S 0.0000 0.0000 0.0000
S2 S 0.3333 0.6667 0.5000

=====

# Zn2TeS PBE relaxed
# Electronic total energy in eV/atom: -3.03
data_Zn2TeS
_chemical_formula_sum 'Zn2 Te1 S1'
_space_group_name_H-M_alt 'P -4 m 2'
_space_group_IT_number 115
_space_group_name_Hall 'P -4 -2'
_cell_length_a 4.115
_cell_length_b 4.115
_cell_length_c 5.776
_cell_angle_alpha 90.00
_cell_angle_beta 90.00
_cell_angle_gamma 90.00
loop_
_atom_site_label
_atom_site_type_symbol
_atom_site_fract_x
_atom_site_fract_y
_atom_site_fract_z
Zn1 Zn 0.000 0.500 0.219
Te1 Te 0.000 0.000 0.500
S1 S 0.500 0.500 0.000

=====

# ZrTeS2 PBE relaxed
# M_tot in μB per cell: 0.0
# Electronic total energy in eV/atom: -6.05
data_ZrTeS2
_chemical_formula_sum 'Zr2 Te2 S4'
_space_group_name_H-M_alt 'P 1 21/m 1'
_space_group_IT_number 11
_space_group_name_Hall '-P 2yb'
_cell_length_a 5.174
_cell_length_b 3.778
_cell_length_c 9.940
_cell_angle_alpha 90.00
_cell_angle_beta 98.99
_cell_angle_gamma 90.00
loop_
_atom_site_label
_atom_site_type_symbol
_atom_site_fract_x
_atom_site_fract_y
_atom_site_fract_z
Zr1 Zr 0.207 0.250 0.358
Te1 Te 0.391 0.750 0.157
S1 S 0.066 0.250 0.786
S2 S 0.267 0.750 0.545